Entry 1:
DFT (PBE) results for Cd2GaCoAg after structural relaxation.

Geometry as POSCAR:
```
Cd2GaCoAg
1.0
5.204 0.000 0.000
0.000 5.204 0.000
0.000 0.000 4.861
Cd Ga Co Ag
2 1 1 1
Cartesian
0.000 2.602 0.000
2.602 0.000 0.000
0.000 0.000 2.430
2.602 2.602 2.430
2.602 2.602 0.000
```

## Properties
total energy: -10.79 eV per cell
DFT formation energy: 388.5 kJ/mol of formula units
space group: P4/mmm, No. 123

=====

Entry 2:
DFT (PBE) results for MgBe3S after structural relaxation.

Geometry as POSCAR:
```
MgBe3S
1.0
4.175 0.000 0.000
0.000 4.175 0.000
0.000 0.000 4.175
Mg Be S
1 3 1
Cartesian
0.000 0.000 0.000
0.000 2.087 2.087
2.087 0.000 2.087
2.087 2.087 0.000
2.087 2.087 2.087
```

## Properties
total energy: -13.55 eV per cell
energy relative to the elements, uncorrected: 0.670 eV per atom
space group: Pm-3m, No. 221

=====

Entry 3:
DFT (PBE) results for CsSiTeHSe after structural relaxation.

Geometry as POSCAR:
```
CsSiTeHSe
1.0
4.966 0.000 0.000
0.029 6.279 0.000
1.294 1.541 6.362
Cs Si Te H Se
1 1 1 1 1
Cartesian
0.000 0.000 0.000
3.530 5.228 3.771
3.807 4.676 6.075
4.177 4.293 2.787
2.473 6.897 2.896
```

## Properties
total energy: -18.35 eV per cell
space group: P1, No. 1